Model P:
Density functional theory data (PBE-GGA) for a relaxed AlTlCl crystal.

Output
- SG = I4mm, No. 107
- density of states at the Fermi level (states/eV/f.u.) = 1.73

a = 7.5166 Å, b = 7.5166 Å, c = 7.5166 Å
α = 154.76°, β = 154.76°, γ = 36.00°
Closest atoms and distances in Å follow each position.
Sites, in units of the cell vectors:
Al 0.0000 0.0000 0.0000  4 Cl 2.80
Tl 0.3304 0.3304 0.0000  4 Tl 3.28, 4 Al 3.36
Cl 0.6088 0.6088 0.0000  4 Al 2.80

---

Model Q:
Density functional theory data (PBE-GGA) for a relaxed AlTlCl crystal.

Output
- SG = F-43m, No. 216
- density of states at the Fermi level (states/eV/f.u.) = 2.55

a = 5.0332 Å, b = 5.0332 Å, c = 5.0332 Å
α = 60.00°, β = 60.00°, γ = 60.00°
Closest atoms and distances in Å follow each position.
Sites, in units of the cell vectors:
Al 0.0000 0.0000 0.0000  4 Tl 3.08, 4 Cl 3.08
Tl 0.7500 0.7500 0.7500  4 Al 3.08
Cl 0.2500 0.2500 0.2500  4 Al 3.08

---

Energy comparison, zero being the most stable, in meV/atom: model P 0; model Q 187.

---

Model P:
Density functional theory data (PBE-GGA) for a relaxed AlTlCl crystal.

Output
- SG = Fmm2, No. 42
- density of states at the Fermi level (states/eV/f.u.) = 0.99

a = 8.4097 Å, b = 7.9600 Å, c = 3.5674 Å
α = 84.58°, β = 70.44°, γ = 24.98°
Closest atoms and distances in Å follow each position.
Sites, in units of the cell vectors:
Al 0.0000 0.0000 0.0000  2 Cl 2.42
Tl 0.3302 0.3302 0.6698  2 Al 3.11, 2 Tl 3.28
Cl 0.6147 0.6147 0.3853  2 Al 2.42

---

Model Q:
Density functional theory data (PBE-GGA) for a relaxed AlTlCl crystal.

Output
- SG = P3m1, No. 156
- density of states at the Fermi level (states/eV/f.u.) = 1.17

a = 3.3846 Å, b = 3.3846 Å, c = 7.7010 Å
α = 90.00°, β = 90.00°, γ = 120.00°
Closest atoms and distances in Å follow each position.
Sites, in units of the cell vectors:
Al 0.0000 0.0000 0.0000  3 Cl 2.58
Tl 0.3333 0.6667 0.6695  3 Al 3.21, 6 Tl 3.38
Cl 0.6667 0.3333 0.2191  3 Al 2.58

---

Model R:
Density functional theory data (PBE-GGA) for a relaxed AlTlCl crystal.

Output
- SG = P-6m2, No. 187
- density of states at the Fermi level (states/eV/f.u.) = 1.02

a = 5.0397 Å, b = 5.0397 Å, c = 3.4552 Å
α = 90.00°, β = 90.00°, γ = 120.00°
Closest atoms and distances in Å follow each position.
Sites, in units of the cell vectors:
Al 0.0000 0.0000 0.0000  3 Cl 2.91
Tl 0.3333 0.6667 0.5000  6 Al 3.38, 6 Cl 3.38, 2 Tl 3.46
Cl 0.6667 0.3333 0.0000  3 Al 2.91

---

Energy comparison, zero being the most stable, in meV/atom: model P 45; model Q 0; model R 205.

---

Model P:
Density functional theory data (PBE-GGA) for a relaxed Al2Tl2Cl crystal.

Output
- SG = P4/mbm, No. 127
- density of states at the Fermi level (states/eV/f.u.) = 1.90

a = 8.4723 Å, b = 8.4723 Å, c = 3.6664 Å
α = 90.00°, β = 90.00°, γ = 90.00°
Closest atoms and distances in Å follow each position.
Sites, in units of the cell vectors:
Al 0.1100 0.3900 0.0000  1 Al 2.64
Al 0.3900 0.8900 0.0000  1 Al 2.64
Al 0.6100 0.1100 0.0000  1 Al 2.64
Al 0.8900 0.6100 0.0000  1 Al 2.64
Tl 0.1928 0.6928 0.5000  6 Al 2.99-3.23, 2 Cl 3.07
Tl 0.3072 0.1928 0.5000  6 Al 2.99-3.23, 2 Cl 3.07
Tl 0.6928 0.8072 0.5000  6 Al 2.99-3.23, 2 Cl 3.07
Tl 0.8072 0.3072 0.5000  6 Al 2.99-3.23, 2 Cl 3.07
Cl 0.0000 0.0000 0.5000  4 Tl 3.07
Cl 0.5000 0.5000 0.5000  4 Tl 3.07

---

Model Q:
Density functional theory data (PBE-GGA) for a relaxed Al2Tl2Cl crystal.

Output
- SG = I4/mmm, No. 139
- density of states at the Fermi level (states/eV/f.u.) = 2.89

a = 9.2954 Å, b = 9.2954 Å, c = 9.2954 Å
α = 155.61°, β = 155.61°, γ = 34.76°
Closest atoms and distances in Å follow each position.
Sites, in units of the cell vectors:
Al 0.2500 0.7500 0.5000  4 Al 2.78
Al 0.7500 0.2500 0.5000  4 Al 2.78
Tl 0.0928 0.0928 0.0000  4 Cl 3.23, 1 Tl 3.29, 4 Al 3.41
Tl 0.9072 0.9072 0.0000  4 Cl 3.23, 1 Tl 3.29, 4 Al 3.41
Cl 0.5000 0.5000 0.0000  8 Tl 3.23

---

Energy comparison, zero being the most stable, in meV/atom: model P 72; model Q 0.